No. 1
DFT (PBE) results for crystalline Sm4ErGa2 at its relaxed geometry.

Values from the calculation:
ρ, Mg/m³: 6.89
Total DFT energy (no corrections), eV/atom: -4.30
Magnetic moment, μB per formula unit: 0.000
DFT formation energy, kJ per mole of atoms: -8.7

Cell lengths 10.4523, 10.4523, 10.4523 Å; angles 27.77, 27.77, 27.77 degrees
Last column: nearest neighbours and their distance in Å.
Positions (direct):
Sm (0.1040, 0.1040, 0.1040)  3 Ga 3.09, 3 Er 3.46
Sm (0.2981, 0.2981, 0.2981)  4 Ga 3.06-3.11
Sm (0.7019, 0.7019, 0.7019)  4 Ga 3.06-3.11
Sm (0.8960, 0.8960, 0.8960)  3 Ga 3.09, 3 Er 3.46
Er (0.5000, 0.5000, 0.5000)  2 Ga 2.97
Ga (0.4015, 0.4015, 0.4015)  1 Er 2.97, 7 Sm 3.06-3.11
Ga (0.5985, 0.5985, 0.5985)  1 Er 2.97, 7 Sm 3.06-3.11

***

No. 2
DFT (PBE) results for crystalline Sm2Er3Ga4 at its relaxed geometry.

Values from the calculation:
ρ, Mg/m³: 7.83
Total DFT energy (no corrections), eV/atom: -4.34
Energy above the most stable polymorph in this dataset, eV/atom: 0.163
Magnetic moment, μB per formula unit: 0.000
DFT formation energy, kJ per mole of atoms: -40.8

Cell lengths 8.5961, 8.5961, 8.5164 Å; angles 90.00, 90.00, 133.18 degrees
Last column: nearest neighbours and their distance in Å.
Positions (direct):
Sm (0.1070, 0.8930, 0.9188)  6 Ga 3.14-3.50
Sm (0.3930, 0.6070, 0.4188)  6 Ga 3.14-3.50
Sm (0.6070, 0.3930, 0.5812)  6 Ga 3.14-3.50
Sm (0.8930, 0.1070, 0.0812)  6 Ga 3.14-3.50
Er (0.0000, 0.0000, 0.5000)  6 Ga 2.78-2.95
Er (0.0349, 0.4651, 0.7500)  5 Ga 2.88-3.05
Er (0.4651, 0.0349, 0.2500)  5 Ga 2.88-3.05
Er (0.5000, 0.5000, 0.0000)  6 Ga 2.78-2.95
Er (0.5349, 0.9651, 0.7500)  5 Ga 2.88-3.05
Er (0.9651, 0.5349, 0.2500)  5 Ga 2.88-3.05
Ga (0.1857, 0.8143, 0.5421)  5 Er 2.92-3.05
Ga (0.2173, 0.2827, 0.7500)  3 Er 2.78-2.88
Ga (0.2827, 0.2173, 0.2500)  3 Er 2.78-2.88
Ga (0.3143, 0.6857, 0.0421)  5 Er 2.92-3.05
Ga (0.6857, 0.3143, 0.9579)  5 Er 2.92-3.05
Ga (0.7173, 0.7827, 0.7500)  3 Er 2.78-2.88
Ga (0.7827, 0.7173, 0.2500)  3 Er 2.78-2.88
Ga (0.8143, 0.1857, 0.4579)  5 Er 2.92-3.05

***

No. 3
DFT (PBE) results for crystalline SmEr2Ga2 at its relaxed geometry.

Values from the calculation:
ρ, Mg/m³: 8.00
Total DFT energy (no corrections), eV/atom: -4.38
Energy above the most stable polymorph in this dataset, eV/atom: 0.074
Magnetic moment, μB per formula unit: 0.000
DFT formation energy, kJ per mole of atoms: -38.9

Cell lengths 4.5194, 4.5194, 7.0903 Å; angles 108.43, 108.43, 90.04 degrees
Last column: nearest neighbours and their distance in Å.
Positions (direct):
Sm (0.0000, 0.0000, 0.0000)  8 Ga 3.41-3.44
Er (0.2500, 0.7500, 0.5000)  4 Ga 2.98-2.99, 4 Er 3.19-3.20
Er (0.7500, 0.2500, 0.5000)  4 Ga 2.98-2.99, 4 Er 3.19-3.20
Ga (0.4018, 0.4018, 0.8071)  1 Ga 2.45
Ga (0.5982, 0.5982, 0.1929)  1 Ga 2.45

***

No. 4
DFT (PBE) results for crystalline Sm3ErGa3 at its relaxed geometry.

Values from the calculation:
ρ, Mg/m³: 7.63
Total DFT energy (no corrections), eV/atom: -4.35
Magnetic moment, μB per formula unit: 0.000
DFT formation energy, kJ per mole of atoms: -36.7

Cell lengths 9.2524, 9.2524, 4.8563 Å; angles 90.00, 90.00, 120.00 degrees
Last column: nearest neighbours and their distance in Å.
Positions (direct):
Sm (0.0148, 0.7578, 0.2500)  4 Ga 2.97-3.05
Sm (0.2422, 0.2569, 0.2500)  4 Ga 2.97-3.05
Sm (0.2569, 0.0148, 0.7500)  4 Ga 2.97-3.05
Sm (0.7431, 0.9852, 0.2500)  4 Ga 2.97-3.05
Sm (0.7578, 0.7431, 0.7500)  4 Ga 2.97-3.05
Sm (0.9852, 0.2422, 0.7500)  4 Ga 2.97-3.05
Er (0.3333, 0.6667, 0.7500)  9 Ga 3.22-3.36
Er (0.6667, 0.3333, 0.2500)  9 Ga 3.22-3.36
Ga (0.0584, 0.4516, 0.2500)  4 Sm 2.97-3.05, 2 Ga 2.97, 1 Er 3.22
Ga (0.3933, 0.9416, 0.2500)  4 Sm 2.97-3.05, 2 Ga 2.97, 1 Er 3.22
Ga (0.4516, 0.3933, 0.7500)  4 Sm 2.97-3.05, 2 Ga 2.97, 1 Er 3.22
Ga (0.5484, 0.6067, 0.2500)  4 Sm 2.97-3.05, 2 Ga 2.97, 1 Er 3.22
Ga (0.6067, 0.0584, 0.7500)  4 Sm 2.97-3.05, 2 Ga 2.97, 1 Er 3.22
Ga (0.9416, 0.5484, 0.7500)  4 Sm 2.97-3.05, 2 Ga 2.97, 1 Er 3.22

***

No. 5
DFT (PBE) results for crystalline SmEr2Ga2 at its relaxed geometry.

Values from the calculation:
ρ, Mg/m³: 8.19
Total DFT energy (no corrections), eV/atom: -4.46
Energy above the most stable polymorph in this dataset, eV/atom: 0.000
Magnetic moment, μB per formula unit: 0.000
DFT formation energy, kJ per mole of atoms: -46.0

Cell lengths 7.6578, 7.6578, 4.3164 Å; angles 90.00, 90.00, 90.00 degrees
Last column: nearest neighbours and their distance in Å.
Positions (direct):
Sm (0.0000, 0.0000, 0.0000)  4 Ga 3.06
Sm (0.5000, 0.5000, 0.0000)  4 Ga 3.06
Er (0.1737, 0.3263, 0.5000)  6 Ga 3.11-3.14
Er (0.3263, 0.8263, 0.5000)  6 Ga 3.11-3.14
Er (0.6737, 0.1737, 0.5000)  6 Ga 3.11-3.14
Er (0.8263, 0.6737, 0.5000)  6 Ga 3.11-3.14
Ga (0.1191, 0.6191, 0.0000)  1 Ga 2.58
Ga (0.3809, 0.1191, 0.0000)  1 Ga 2.58
Ga (0.6191, 0.8809, 0.0000)  1 Ga 2.58
Ga (0.8809, 0.3809, 0.0000)  1 Ga 2.58

***

No. 6
DFT (PBE) results for crystalline Sm4ErGa4 at its relaxed geometry.

Values from the calculation:
ρ, Mg/m³: 7.04
Total DFT energy (no corrections), eV/atom: -4.34
Magnetic moment, μB per formula unit: 0.000
DFT formation energy, kJ per mole of atoms: -37.8

Cell lengths 7.5962, 7.5962, 7.5962 Å; angles 95.60, 95.60, 143.60 degrees
Last column: nearest neighbours and their distance in Å.
Positions (direct):
Sm (0.1322, 0.6460, 0.7782)  4 Ga 3.00-3.10
Sm (0.3540, 0.1322, 0.4863)  4 Ga 3.00-3.10
Sm (0.6460, 0.8678, 0.5137)  4 Ga 3.00-3.10
Sm (0.8678, 0.3540, 0.2218)  4 Ga 3.00-3.10
Er (0.0000, 0.0000, 0.0000)  8 Ga 3.02
Ga (0.3314, 0.4298, 0.7612)  2 Ga 2.64
Ga (0.4298, 0.6686, 0.0984)  2 Ga 2.64
Ga (0.5702, 0.3314, 0.9016)  2 Ga 2.64
Ga (0.6686, 0.5702, 0.2388)  2 Ga 2.64

***

No. 7
DFT (PBE) results for crystalline Sm2ErGa at its relaxed geometry.

Values from the calculation:
ρ, Mg/m³: 7.76
Total DFT energy (no corrections), eV/atom: -4.52
Energy above the most stable polymorph in this dataset, eV/atom: 0.000
Magnetic moment, μB per formula unit: 0.000
DFT formation energy, kJ per mole of atoms: -25.4

Cell lengths 3.6582, 9.8239, 6.6616 Å; angles 90.00, 105.93, 90.00 degrees
Last column: nearest neighbours and their distance in Å.
Positions (direct):
Sm (0.1348, 0.0489, 0.2697)  3 Ga 3.12-3.24
Sm (0.1348, 0.4511, 0.2697)  3 Ga 3.12-3.24
Sm (0.8652, 0.5489, 0.7303)  3 Ga 3.12-3.24
Sm (0.8652, 0.9511, 0.7303)  3 Ga 3.12-3.24
Er (0.4437, 0.2500, 0.8881)  2 Ga 3.00
Er (0.5563, 0.7500, 0.1119)  2 Ga 3.00
Ga (0.2419, 0.7500, 0.4831)  2 Er 3.00, 6 Sm 3.12-3.24
Ga (0.7581, 0.2500, 0.5169)  2 Er 3.00, 6 Sm 3.12-3.24

***

No. 8
DFT (PBE) results for crystalline Sm2Er2Ga3 at its relaxed geometry.

Values from the calculation:
ρ, Mg/m³: 7.77
Total DFT energy (no corrections), eV/atom: -4.39
Magnetic moment, μB per formula unit: 0.000
DFT formation energy, kJ per mole of atoms: -42.2

Cell lengths 3.9745, 5.6086, 8.2153 Å; angles 98.60, 94.19, 91.37 degrees
Last column: nearest neighbours and their distance in Å.
Positions (direct):
Sm (0.2265, 0.0392, 0.1753)  5 Ga 3.01-3.26, 1 Sm 3.25
Sm (0.7735, 0.9608, 0.8247)  5 Ga 3.01-3.26, 1 Sm 3.25
Er (0.3034, 0.4187, 0.6793)  5 Ga 2.95-3.11
Er (0.6966, 0.5813, 0.3207)  5 Ga 2.95-3.11
Ga (0.0000, 0.5000, 0.0000)  2 Er 2.96, 4 Sm 3.23-3.26
Ga (0.2454, 0.8721, 0.5387)  2 Ga 2.55-2.62
Ga (0.7546, 0.1279, 0.4613)  2 Ga 2.55-2.62

***

no.,N(E_F) (states/eV/cell)
1,10.70
2,11.90
3,3.60
4,9.89
5,11.63
6,7.81
7,10.76
8,5.19